[1]
{"formula": "BeTe2S", "functional": "PBE", "state": "optimized geometry", "total_energy_ev_per_cell": -26.19, "vol_a3_per_atom": 25.4, "raw_formation_energy_ev_per_atom": 0.2608, "cell": [[-1.267, 6.085, 2.325], [-5.019, -2.422, 3.604], [-0.259, 1.089, 6.481]], "species": ["Te", "Te", "Te", "S", "S", "Te", "Be", "Be"], "frac_coords": [[0.174, 0.625, 0.250], [0.375, 0.424, 0.750], [0.875, 0.826, 0.750], [0.000, 0.000, 0.000], [0.750, 0.250, 0.500], [0.576, 0.125, 0.250], [0.250, 0.750, 0.500], [0.500, 0.500, 0.000]]}

---

[2]
{"formula": "RhPb2Br", "functional": "PBE", "state": "optimized geometry", "total_energy_ev_per_cell": -16.14, "vol_a3_per_atom": 24.8, "raw_formation_energy_ev_per_atom": 0.0747, "cell": [[3.546, 0.034, 0.000], [-0.038, 3.546, 0.000], [0.000, 0.000, 7.881]], "species": ["Br", "Pb", "Pb", "Rh"], "frac_coords": [[0.500, 0.500, 0.713], [0.000, 0.000, 0.013], [0.500, 0.500, 0.308], [0.000, 0.000, 0.466]]}

---

[3]
{"formula": "MnPb", "functional": "PBE", "state": "optimized geometry", "total_energy_ev_per_cell": -181.57, "vol_a3_per_atom": 20.8, "delta_e_f_ev_per_atom": 0.76, "cell": [[-2.166, -6.029, 5.882], [10.515, -7.354, -3.666], [3.228, 2.663, 3.918]], "species": ["Mn", "Mn", "Mn", "Pb", "Pb", "Mn", "Pb", "Pb", "Pb", "Pb", "Pb", "Pb", "Mn", "Pb", "Mn", "Pb", "Pb", "Mn", "Pb", "Pb", "Mn", "Mn", "Mn", "Mn", "Pb", "Pb", "Mn", "Mn", "Mn", "Pb", "Mn", "Mn"], "frac_coords": [[0.750, 0.329, 0.250], [0.750, 0.171, 0.250], [0.250, 0.829, 0.250], [0.323, 0.500, 0.500], [0.427, 0.250, 0.250], [0.500, 0.421, 0.000], [0.323, 0.000, 0.000], [0.073, 0.750, 0.750], [0.177, 0.500, 0.000], [0.177, 0.000, 0.500], [0.927, 0.750, 0.250], [0.573, 0.750, 0.250], [0.250, 0.671, 0.250], [0.823, 0.000, 0.500], [0.750, 0.671, 0.750], [0.823, 0.500, 0.000], [0.677, 0.000, 0.000], [0.750, 0.829, 0.750], [0.927, 0.250, 0.750], [0.427, 0.750, 0.750], [0.000, 0.421, 0.500], [0.250, 0.329, 0.750], [0.500, 0.579, 0.000], [0.000, 0.579, 0.500], [0.573, 0.250, 0.750], [0.677, 0.500, 0.500], [0.500, 0.921, 0.500], [0.000, 0.921, 0.000], [0.250, 0.171, 0.750], [0.073, 0.250, 0.250], [0.000, 0.079, 0.000], [0.500, 0.079, 0.500]]}

---

[4]
{"formula": "Nb2AlBCl", "functional": "PBE", "state": "optimized geometry", "total_energy_ev_per_cell": -24.76, "vol_a3_per_atom": 17.8, "raw_formation_energy_ev_per_atom": 1.5284, "cell": [[4.531, 0.000, 0.000], [0.000, 4.347, 0.000], [0.000, 0.000, 4.531]], "species": ["Al", "Nb", "Nb", "B", "Cl"], "frac_coords": [[0.000, 0.500, 0.000], [0.500, 0.000, 0.000], [0.000, 0.000, 0.500], [0.500, 0.500, 0.500], [0.000, 0.000, 0.000]]}

---

[5]
{"formula": "SiIrBr2", "functional": "PBE", "state": "optimized geometry", "total_energy_ev_per_cell": -28.22, "vol_a3_per_atom": 22.0, "raw_formation_energy_ev_per_atom": 0.8802, "cell": [[4.569, 0.000, 0.000], [0.000, 4.569, 0.000], [2.285, 2.285, 8.437]], "species": ["Br", "Br", "Si", "Ir", "Br", "Ir", "Si", "Br"], "frac_coords": [[0.375, 0.356, 0.750], [0.106, 0.625, 0.250], [0.500, 0.500, 0.000], [0.000, 0.000, 0.000], [0.644, 0.125, 0.250], [0.750, 0.250, 0.500], [0.250, 0.750, 0.500], [0.875, 0.894, 0.750]]}

---

[6]
{"formula": "Tb2Mg3Cd", "functional": "PBE", "state": "optimized geometry", "total_energy_ev_per_cell": -31.72, "vol_a3_per_atom": 25.5, "delta_e_f_ev_per_atom": -0.15, "cell": [[-5.272, -3.088, -0.648], [4.404, -3.000, 3.058], [-2.538, 6.507, 6.474]], "species": ["Tb", "Tb", "Tb", "Tb", "Mg", "Cd", "Mg", "Mg", "Mg", "Cd", "Mg", "Mg"], "frac_coords": [[0.250, 0.750, 0.500], [0.749, 0.749, 0.000], [0.251, 0.251, 0.000], [0.750, 0.250, 0.500], [0.336, 0.831, 0.168], [0.333, 0.333, 0.667], [0.167, 0.167, 0.335], [0.169, 0.664, 0.832], [0.664, 0.169, 0.832], [0.667, 0.667, 0.333], [0.833, 0.833, 0.665], [0.831, 0.336, 0.168]]}

---

[7]
{"formula": "ThHgI4", "functional": "PBE", "state": "optimized geometry", "total_energy_ev_per_cell": -19.60, "vol_a3_per_atom": 57.3, "raw_formation_energy_ev_per_atom": -0.9464, "cell": [[-1.165, -4.463, -0.534], [3.881, 0.598, 6.729], [-9.958, 2.349, 2.085]], "species": ["I", "Hg", "Th", "I", "I", "I"], "frac_coords": [[0.859, 0.717, 0.731], [0.500, 0.000, 0.500], [0.000, 0.000, 0.000], [0.141, 0.283, 0.269], [0.389, 0.778, 0.094], [0.611, 0.222, 0.906]]}

---

[8]
{"formula": "Ca2YAu", "functional": "PBE", "state": "optimized geometry", "total_energy_ev_per_cell": -15.10, "vol_a3_per_atom": 31.0, "delta_e_f_ev_per_atom": -0.34, "cell": [[-3.408, -4.746, -3.478], [0.108, -5.951, -3.289], [-1.678, -4.410, 3.091]], "species": ["Ca", "Y", "Ca", "Au"], "frac_coords": [[0.052, 0.052, 0.948], [0.445, 0.445, 0.555], [0.248, 0.248, 0.252], [0.755, 0.755, 0.744]]}

---

[9]
{"formula": "CsPAu2Se4", "functional": "PBE", "state": "optimized geometry", "total_energy_ev_per_cell": -29.85, "vol_a3_per_atom": 32.9, "raw_formation_energy_ev_per_atom": -0.3871, "cell": [[-2.388, 5.644, -2.138], [-4.236, 3.635, 4.474], [4.113, 5.792, 0.843]], "species": ["P", "Se", "Au", "Se", "Cs", "Se", "Au", "Se"], "frac_coords": [[0.000, 0.500, 0.500], [0.972, 0.483, 0.200], [0.500, 0.340, 0.660], [0.028, 0.800, 0.517], [0.000, 0.000, 0.000], [0.346, 0.200, 0.483], [0.500, 0.660, 0.340], [0.654, 0.517, 0.800]]}

---

[10]
{"formula": "Pm2HSe2", "functional": "PBE", "state": "optimized geometry", "total_energy_ev_per_cell": -53.66, "vol_a3_per_atom": 22.5, "cell": [[-0.969, -3.531, -1.269], [5.386, 0.966, -0.882], [2.413, -4.275, 10.052]], "species": ["Se", "Pm", "H", "H", "Se", "Se", "Se", "Pm", "Pm", "Pm"], "frac_coords": [[0.322, 0.644, 0.838], [0.040, 0.079, 0.884], [0.360, 0.720, 0.501], [0.640, 0.280, 0.001], [0.678, 0.356, 0.338], [0.945, 0.890, 0.127], [0.055, 0.110, 0.627], [0.236, 0.472, 0.135], [0.764, 0.528, 0.635], [0.960, 0.921, 0.384]]}

---

[11]
{"formula": "LiBiS2", "functional": "PBE", "state": "optimized geometry", "total_energy_ev_per_cell": -33.12, "vol_a3_per_atom": 27.1, "raw_formation_energy_ev_per_atom": -0.6282, "cell": [[-0.341, 2.604, -5.301], [-4.305, -3.744, -1.563], [-6.560, 3.378, -1.220]], "species": ["Li", "Bi", "Bi", "S", "S", "Li", "S", "S"], "frac_coords": [[0.250, 0.750, 0.500], [0.000, 0.000, 0.000], [0.750, 0.250, 0.500], [0.375, 0.408, 0.750], [0.875, 0.842, 0.750], [0.500, 0.500, 0.000], [0.592, 0.125, 0.250], [0.158, 0.625, 0.250]]}

---

[12]
{"formula": "LiZr2Tl", "functional": "PBE", "state": "optimized geometry", "total_energy_ev_per_cell": -21.20, "vol_a3_per_atom": 21.3, "delta_e_f_ev_per_atom": 0.04, "cell": [[-1.314, 2.546, 5.108], [-3.994, -2.694, 3.331], [5.244, -0.247, -2.596]], "species": ["Zr", "Li", "Zr", "Tl"], "frac_coords": [[0.000, 0.000, 0.000], [0.515, 0.515, 0.000], [0.257, 0.757, 0.500], [0.728, 0.228, 0.500]]}